(1)
First-principles (PBE) data for crystalline BaSn3Bi at its relaxed geometry, as listed in the Alexandria database.

Lattice parameters (Å, degrees): 5.9372 5.9372 5.9372 90.00 90.00 90.00
Element x y z (fractional)
Ba: 0.0000 0.0000 0.0000
Sn: 0.0000 0.5000 0.5000
Sn: 0.5000 0.0000 0.5000
Sn: 0.5000 0.5000 0.0000
Bi: 0.5000 0.5000 0.5000

Properties
**Formation energy from the elements**: 0.200 eV per atom
**DFT total energy**: -3.3620 eV per atom
**Density of states at the Fermi level**: 0.750 states/eV/atom
**Spin magnetization**: 0.0 Bohr magnetons per cell
**Space group**: No. 221
**Distance to the lowest polymorph of the same formula**: 484 meV per atom

=====

(2)
First-principles (PBE) data for crystalline BaSn2Bi2 at its relaxed geometry, as listed in the Alexandria database.

Lattice parameters (Å, degrees): 9.2825 9.2825 9.2825 143.58 133.46 60.50
Element x y z (fractional)
Ba: 0.3816 0.1316 0.2500
Ba: 0.6184 0.8684 0.7500
Sn: 0.1365 0.6845 0.4520
Sn: 0.2675 0.3155 0.9520
Sn: 0.7325 0.6845 0.0480
Sn: 0.8635 0.3155 0.5480
Bi: 0.1322 0.8822 0.2500
Bi: 0.2498 0.4998 0.7500
Bi: 0.7502 0.5002 0.2500
Bi: 0.8678 0.1178 0.7500

Properties
**Formation energy from the elements**: -0.273 eV per atom
**DFT total energy**: -3.8114 eV per atom
**Density of states at the Fermi level**: 0.698 states/eV/atom
**Spin magnetization**: 0.0 Bohr magnetons per cell
**Space group**: No. 74

=====

(3)
First-principles (PBE) data for crystalline BaSnBi2 at its relaxed geometry, as listed in the Alexandria database.

Lattice parameters (Å, degrees): 5.1237 5.1237 5.1272 90.00 90.00 90.00
Element x y z (fractional)
Ba: 0.0000 0.0000 0.0000
Sn: 0.5000 0.5000 0.0000
Bi: 0.0000 0.5000 0.5000
Bi: 0.5000 0.0000 0.5000

Properties
**Formation energy from the elements**: -0.422 eV per atom
**DFT total energy**: -3.8440 eV per atom
**Density of states at the Fermi level**: 0.818 states/eV/atom
**Spin magnetization**: 0.0 Bohr magnetons per cell
**Space group**: No. 123

=====

(4)
First-principles (PBE) data for crystalline BaSnBi4 at its relaxed geometry, as listed in the Alexandria database.

Lattice parameters (Å, degrees): 6.6827 6.6827 6.6827 60.00 60.00 60.00
Element x y z (fractional)
Ba: 0.0000 0.0000 0.0000
Sn: 0.7500 0.7500 0.7500
Bi: 0.3766 0.3766 0.3766
Bi: 0.3766 0.3766 0.8703
Bi: 0.3766 0.8703 0.3766
Bi: 0.8703 0.3766 0.3766

Properties
**Formation energy from the elements**: -0.174 eV per atom
**DFT total energy**: -3.7489 eV per atom
**Density of states at the Fermi level**: 0.613 states/eV/atom
**Spin magnetization**: 0.0 Bohr magnetons per cell
**Space group**: No. 216
**Distance to the lowest polymorph of the same formula**: 0 meV per atom

=====

(5)
First-principles (PBE) data for crystalline BaSn2Bi2 at its relaxed geometry, as listed in the Alexandria database.

Lattice parameters (Å, degrees): 9.0533 9.0533 4.1795 90.00 90.00 90.00
Element x y z (fractional)
Ba: 0.0000 0.0000 0.0000
Ba: 0.5000 0.5000 0.0000
Sn: 0.1558 0.3442 0.5000
Sn: 0.3442 0.8442 0.5000
Sn: 0.6558 0.1558 0.5000
Sn: 0.8442 0.6558 0.5000
Bi: 0.1306 0.6306 0.0000
Bi: 0.3694 0.1306 0.0000
Bi: 0.6306 0.8694 0.0000
Bi: 0.8694 0.3694 0.0000

Properties
**Formation energy from the elements**: -0.211 eV per atom
**DFT total energy**: -3.7490 eV per atom
**Density of states at the Fermi level**: 0.909 states/eV/atom
**Spin magnetization**: 0.0 Bohr magnetons per cell
**Space group**: No. 127

=====

(6)
First-principles (PBE) data for crystalline Ba3SnBi4 at its relaxed geometry, as listed in the Alexandria database.

Lattice parameters (Å, degrees): 8.8212 8.8212 8.8212 146.48 112.33 77.66
Element x y z (fractional)
Ba: 0.0000 0.0000 0.0000
Ba: 0.3202 0.8202 0.5000
Ba: 0.6798 0.1798 0.5000
Sn: 0.5000 0.5000 0.0000
Bi: 0.1090 0.3855 0.7235
Bi: 0.3380 0.6145 0.7235
Bi: 0.6620 0.3855 0.2765
Bi: 0.8910 0.6145 0.2765

Properties
**Formation energy from the elements**: -0.533 eV per atom
**DFT total energy**: -3.6949 eV per atom
**Density of states at the Fermi level**: 0.691 states/eV/atom
**Spin magnetization**: 0.0 Bohr magnetons per cell
**Space group**: No. 71

=====

(7)
First-principles (PBE) data for crystalline BaSn2Bi3 at its relaxed geometry, as listed in the Alexandria database.

Lattice parameters (Å, degrees): 4.4856 17.0943 5.6169 90.00 90.00 90.00
Element x y z (fractional)
Ba: 0.2500 0.2500 0.2503
Ba: 0.7500 0.7500 0.7497
Sn: 0.2500 0.5878 0.5986
Sn: 0.2500 0.9122 0.5986
Sn: 0.7500 0.0878 0.4014
Sn: 0.7500 0.4122 0.4014
Bi: 0.2500 0.0918 0.7786
Bi: 0.2500 0.4082 0.7786
Bi: 0.2500 0.7500 0.2562
Bi: 0.7500 0.2500 0.7438
Bi: 0.7500 0.5918 0.2214
Bi: 0.7500 0.9082 0.2214

Properties
**Formation energy from the elements**: -0.242 eV per atom
**DFT total energy**: -3.8369 eV per atom
**Density of states at the Fermi level**: 0.486 states/eV/atom
**Spin magnetization**: 0.0 Bohr magnetons per cell
**Space group**: No. 59

=====

(8)
First-principles (PBE) data for crystalline Ba5Sn2Bi5 at its relaxed geometry, as listed in the Alexandria database.

Lattice parameters (Å, degrees): 9.2685 9.2685 13.7246 124.89 124.89 31.13
Element x y z (fractional)
Ba: 0.0000 0.0000 0.0000
Ba: 0.3207 0.3207 0.4294
Ba: 0.3676 0.3676 0.1786
Ba: 0.6324 0.6324 0.8214
Ba: 0.6793 0.6793 0.5706
Sn: 0.3552 0.3552 0.7084
Sn: 0.6448 0.6448 0.2916
Bi: 0.0000 0.0000 0.5000
Bi: 0.0457 0.0457 0.2989
Bi: 0.3073 0.3073 0.8813
Bi: 0.6927 0.6927 0.1187
Bi: 0.9543 0.9543 0.7011

Properties
**Formation energy from the elements**: -0.693 eV per atom
**DFT total energy**: -3.7782 eV per atom
**Density of states at the Fermi level**: 0.405 states/eV/atom
**Spin magnetization**: 0.0 Bohr magnetons per cell
**Space group**: No. 12

=====

Q: Look up the formation energy from the elements of the sixth one.
A: -0.533 eV per atom

=====

Q: density of states at the Fermi level of number 7 (BaSn2Bi3)?
A: 0.486 states/eV/atom